[1]
DFT (PBE) results for a relaxed structure of TiCoH2.

Calculated values
SG: I-42d
E: -5.639 eV per atom
Magnetization: 1.30 μB per cell
Crystal system: tetragonal
Density: 5.55 g/cm3
ΔE to the lowest computed polymorph: 64 meV/atom

Lattice parameters (Å, degrees): 3.898 3.898 5.092 67.49 67.49 90.00
Site moments in Bohr magnetons follow the coordinates.
Element x y z (fractional)
H 0.875 0.932 0.750  0.00
H 0.682 0.125 0.250  0.00
H 0.375 0.318 0.750  0.00
H 0.068 0.625 0.250  0.00
Ti 0.500 0.500 0.000  0.20
Ti 0.250 0.750 0.500  0.20
Co 0.000 0.000 0.000  0.44
Co 0.750 0.250 0.500  0.44

---

[2]
DFT (PBE) results for a relaxed structure of TiCo5H6.

Calculated values
SG: C2/m
E: -5.421 eV per atom
Magnetization: 3.52 μB per cell
Crystal system: monoclinic
Density: 7.31 g/cm3

Lattice parameters (Å, degrees): 4.586 4.594 4.607 60.09 80.31 70.28
Site moments in Bohr magnetons follow the coordinates.
Element x y z (fractional)
H 0.751 0.078 0.374  0.00
H 0.742 0.723 0.000  -0.01
H 0.249 0.548 0.374  0.00
H 0.258 0.277 0.000  -0.01
H 0.249 0.922 0.626  0.00
H 0.751 0.452 0.626  0.00
Co 0.000 0.665 0.670  0.47
Co 0.500 0.500 0.000  1.13
Co 0.500 0.162 0.676  0.92
Co 0.500 0.838 0.324  0.92
Co 0.000 0.335 0.330  0.47
Ti 0.000 0.000 0.000  -0.24

---

[3]
DFT (PBE) results for a relaxed structure of TiCoH2.

Calculated values
SG: Pna2_1
E: -5.703 eV per atom
Magnetization: 0.00 μB per cell
Crystal system: orthorhombic
Density: 5.67 g/cm3
ΔE to the lowest computed polymorph: 0 meV/atom

Lattice parameters (Å, degrees): 4.170 5.884 5.193 90.00 90.00 90.00
Element x y z (fractional)
Ti 0.986 0.662 0.380
Ti 0.986 0.162 0.120
Ti 0.486 0.338 0.620
Ti 0.486 0.838 0.880
H 0.476 0.649 0.392
H 0.846 0.463 0.126
H 0.476 0.149 0.108
H 0.346 0.037 0.626
H 0.346 0.537 0.874
H 0.976 0.851 0.892
H 0.846 0.963 0.374
H 0.976 0.351 0.608
Co 0.465 0.449 0.155
Co 0.965 0.051 0.655
Co 0.965 0.551 0.845
Co 0.465 0.949 0.345

---

[4]
DFT (PBE) results for a relaxed structure of Ti2CoH3.

Calculated values
SG: Immm
E: -5.866 eV per atom
Magnetization: 1.19 μB per cell
Crystal system: orthorhombic
Density: 5.21 g/cm3

Lattice parameters (Å, degrees): 3.279 5.780 5.732 104.61 106.62 90.00
Site moments in Bohr magnetons follow the coordinates.
Element x y z (fractional)
H 0.759 0.879 0.517  0.00
H 0.241 0.121 0.483  0.00
H 0.500 0.250 0.000  0.00
H 0.759 0.379 0.517  0.00
H 0.500 0.750 0.000  0.00
H 0.241 0.621 0.483  0.00
Co 0.000 0.250 0.000  0.50
Co 0.000 0.750 0.000  0.50
Ti 0.643 0.072 0.286  0.05
Ti 0.643 0.572 0.286  0.05
Ti 0.357 0.928 0.714  0.05
Ti 0.357 0.428 0.714  0.05

---

[5]
DFT (PBE) results for a relaxed structure of TiCo2H.

Calculated values
SG: I-42d
E: -6.430 eV per atom
Magnetization: 0.00 μB per cell
Crystal system: tetragonal
Density: 6.72 g/cm3
ΔE to the lowest computed polymorph: 0 meV/atom

Lattice parameters (Å, degrees): 4.893 4.893 4.880 59.91 59.91 90.00
Element x y z (fractional)
Co 0.375 0.551 0.750
Co 0.449 0.125 0.250
Co 0.301 0.625 0.250
Co 0.875 0.699 0.750
H 0.250 0.750 0.500
H 0.500 0.500 0.000
Ti 0.750 0.250 0.500
Ti 0.000 0.000 0.000

---

[6]
DFT (PBE) results for a relaxed structure of Ti2CoH6.

Calculated values
SG: C2/m
E: -5.072 eV per atom
Magnetization: 0.00 μB per cell
Crystal system: monoclinic
Density: 4.55 g/cm3

Lattice parameters (Å, degrees): 3.052 4.210 5.250 113.64 106.81 90.00
Element x y z (fractional)
H 0.161 0.397 0.322
H 0.161 0.924 0.322
H 0.500 0.218 0.000
H 0.839 0.603 0.678
H 0.839 0.076 0.678
H 0.500 0.782 0.000
Ti 0.336 0.336 0.672
Ti 0.664 0.664 0.328
Co 0.000 0.000 0.000

---

magnetization of number 5 (TiCo2H)?
0.00 μB per cell

---

Among the records above, which one has the highest E?
Ti2CoH6

---

The highest E belongs to which entry?
Ti2CoH6